60
Lattice="10.435 0.000 0.000 0.000 5.504 0.000 0.000 0.000 16.326" Properties=species:S:1:pos:R:3 comment="K2SrV3O9, relaxed, DFT PBE with a Hubbard U" volume_a3_per_cell=937.6 dft_energy_ev_per_atom=-6.919 space_group="No. 62" pbc="T T T"
K 0.293 1.376 1.111
K 0.292 4.128 3.440
K 4.925 1.376 11.603
K 4.925 4.128 9.274
K 5.510 1.376 7.052
K 5.509 4.128 4.723
K 10.142 1.376 12.886
K 10.142 4.128 15.215
Sr 0.332 4.128 10.049
Sr 4.885 1.376 1.886
Sr 5.550 4.128 14.440
Sr 10.102 1.376 6.277
V 1.972 1.376 8.856
V 2.173 4.128 6.610
V 2.588 4.128 12.587
V 2.629 1.376 4.424
V 3.044 1.376 14.773
V 3.245 4.128 0.693
V 7.189 1.376 15.633
V 7.390 4.128 1.553
V 7.805 4.128 11.902
V 7.846 1.376 3.739
V 8.262 1.376 9.716
V 8.463 4.128 7.470
O 0.886 4.128 12.748
O 0.991 1.376 10.274
O 1.400 1.376 14.989
O 1.457 2.805 7.912
O 1.457 5.451 7.912
O 1.580 4.128 0.973
O 1.816 2.765 5.211
O 1.816 5.491 5.211
O 2.378 1.376 2.742
O 2.840 4.128 10.905
O 3.402 0.013 13.374
O 3.402 2.739 13.374
O 3.637 1.376 9.137
O 3.761 0.053 16.075
O 3.761 2.699 16.075
O 3.817 4.128 6.826
O 4.226 4.128 2.111
O 4.331 1.376 4.585
O 6.103 4.128 11.741
O 6.209 1.376 14.215
O 6.617 1.376 9.500
O 6.674 2.805 0.251
O 6.674 5.451 0.251
O 6.798 4.128 7.190
O 7.033 2.765 2.952
O 7.033 5.491 2.952
O 7.595 1.376 5.421
O 8.057 4.128 13.584
O 8.619 0.013 11.115
O 8.619 2.739 11.115
O 8.854 1.376 15.353
O 8.978 0.053 8.414
O 8.978 2.699 8.414
O 9.035 4.128 1.337
O 9.443 4.128 6.052
O 9.549 1.376 3.578